Record 1
VASP calculation (PBE) on La3Nd2Y after structural relaxation. Values from VASP.

Geometry as Quantum ESPRESSO input:
```
&SYSTEM
  ibrav = 0, nat = 12, ntyp = 3
/
ATOMIC_SPECIES
La 138.91 La.upf
Nd 144.24 Nd.upf
Y 88.91 Y.upf
CELL_PARAMETERS angstrom
6.900 0.000 0.000
0.000 18.085 0.000
0.000 0.000 3.485
ATOMIC_POSITIONS angstrom
La 0.000 0.000 0.000
La 1.647 5.776 0.000
La 1.803 14.819 1.742
La 3.450 9.043 1.742
La 5.097 3.267 1.742
La 5.253 12.310 0.000
Nd 1.599 2.734 1.742
Nd 1.851 11.777 0.000
Nd 5.049 6.308 0.000
Nd 5.301 15.351 1.742
Y 0.000 9.043 0.000
Y 3.450 0.000 1.742
```

For the distance to the lowest polymorph of the same formula, the calculation gives 118.2 meV/atom. For the theoretical density, the calculation gives 6.07 g/cm3. The formation energy comes out at 0.224 eV/atom. For the total energy, the calculation gives -58.9 eV for the cell shown. The space-group type is Pnnm, No. 58.


Record 2
VASP calculation (PBE) on La9Pm2Tl after structural relaxation. Values from VASP.

Geometry as Quantum ESPRESSO input:
```
&SYSTEM
  ibrav = 0, nat = 12, ntyp = 3
/
ATOMIC_SPECIES
La 138.91 La.upf
Pm 145.00 Pm.upf
Tl 204.38 Tl.upf
CELL_PARAMETERS angstrom
6.090 0.000 0.000
0.000 6.090 0.000
0.000 0.000 11.315
ATOMIC_POSITIONS angstrom
La 0.000 0.000 0.000
La 0.000 0.000 3.736
La 0.000 0.000 7.579
La 0.000 3.045 1.749
La 0.000 3.045 5.658
La 0.000 3.045 9.566
La 3.045 0.000 1.749
La 3.045 0.000 5.658
La 3.045 0.000 9.566
Pm 3.045 3.045 3.829
Pm 3.045 3.045 7.486
Tl 3.045 3.045 0.000
```

For the theoretical density, the calculation gives 6.90 g/cm3. The formation energy comes out at 0.017 eV/atom. For the total energy, the calculation gives -56.0 eV for the cell shown. The space-group type is P4/mmm, No. 123.


Record 3
VASP calculation (PBE) on Li3Tm2Cd4 after structural relaxation. Values from VASP.

Geometry as Quantum ESPRESSO input:
```
&SYSTEM
  ibrav = 0, nat = 9, ntyp = 3
/
ATOMIC_SPECIES
Li 6.94 Li.upf
Tm 168.93 Tm.upf
Cd 112.41 Cd.upf
CELL_PARAMETERS angstrom
4.801 0.000 0.000
2.386 5.016 0.000
0.037 2.000 8.017
ATOMIC_POSITIONS angstrom
Li 0.000 0.000 0.000
Li 2.417 2.276 3.758
Li 4.808 4.740 4.259
Tm 2.417 4.072 6.387
Tm 4.808 2.944 1.631
Cd 2.402 4.949 2.885
Cd 2.405 0.989 1.287
Cd 4.819 6.027 6.730
Cd 4.822 2.067 5.132
```

For the distance to the lowest polymorph of the same formula, the calculation gives 0.0 meV/atom. For the theoretical density, the calculation gives 6.95 g/cm3. The formation energy comes out at -0.210 eV/atom. For the total energy, the calculation gives -20.2 eV for the cell shown. The space-group type is P-1, No. 2.


Number 1: M_tot 0.00 Bohr magnetons per cell. Number 2: M_tot 0.00 Bohr magnetons per cell. Number 3: M_tot 0.00 Bohr magnetons per cell.